The following is a PBE calculation of a relaxed ScRu2 crystal, from Alexandria.

a b c (Å): 5.155 5.155 17.191
angles (deg): 90.00 90.00 120.00
Element x y z (fractional)
Ru (0.667, 0.333, 0.127)
Ru (0.333, 0.667, 0.873)
Ru (0.333, 0.667, 0.627)
Ru (0.667, 0.333, 0.373)
Ru (0.000, 0.500, 0.000)
Ru (0.500, 0.500, 0.000)
Ru (0.500, 0.000, 0.000)
Ru (0.000, 0.500, 0.500)
Ru (0.500, 0.500, 0.500)
Ru (0.500, 0.000, 0.500)
Ru (0.323, 0.161, 0.250)
Ru (0.839, 0.161, 0.250)
Ru (0.839, 0.677, 0.250)
Ru (0.677, 0.839, 0.750)
Ru (0.161, 0.839, 0.750)
Ru (0.161, 0.323, 0.750)
Sc (0.000, 0.000, 0.091)
Sc (0.000, 0.000, 0.909)
Sc (0.000, 0.000, 0.591)
Sc (0.000, 0.000, 0.409)
Sc (0.667, 0.333, 0.843)
Sc (0.333, 0.667, 0.157)
Sc (0.333, 0.667, 0.343)
Sc (0.667, 0.333, 0.657)

Summary:
* E: -8.662 eV per atom
* space group: P6_3/mmc (194)
* total moment: 0.0 μB per cell



The following is a PBE calculation of a relaxed CaTiCr2Co crystal, from Alexandria.

a b c (Å): 4.391 5.207 4.391
angles (deg): 90.00 90.00 90.00
Each line ends with the local moment (μB).
Element x y z (fractional)
Cr (0.000, 0.000, 0.500)  2.07
Cr (0.500, 0.000, 0.000)  2.92
Ca (0.000, 0.500, 0.000)  -0.07
Co (0.500, 0.500, 0.500)  0.19
Ti (0.000, 0.000, 0.000)  -0.53

Summary:
* E: -5.640 eV per atom
* space group: P4/mmm (123)
* total moment: 4.9 μB per cell